Record 1
First-principles (PBE) data for a relaxed Li2RuF6 crystal, as listed in Alexandria.

Lattice parameters (Å, degrees): 4.7741 5.3316 8.5751 90.00 90.00 90.00
Last column: nearest neighbours and their distance in Å.
Space group Pnnm (No. 58)
Inequivalent atoms, fractional coordinates:
Li (0.0000, 0.0000, 0.1873) [4 per cell]  6 F 2.00-2.16
Ru (0.0000, 0.5000, 0.0000) [2 per cell]  6 F 1.95-1.96
F (0.2003, 0.1784, 0.0000) [4 per cell]  1 Ru 1.96, 2 Li 2.10
F (0.2294, 0.6538, 0.1621) [8 per cell]  1 Ru 1.95, 2 Li 2.00-2.16

Computed properties:
Offset from the most stable computed form = 17.5 kJ/mol of formula units
Energy relative to the elements, uncorrected = -2288 meV/atom
Final energy = -89.8 eV per cell

Record 2
First-principles (PBE) data for a relaxed LiOsRh crystal, as listed in Alexandria.

Lattice parameters (Å, degrees): 2.7591 4.7799 6.9187 104.96 90.03 106.68
Last column: nearest neighbours and their distance in Å.
Space group P-1 (No. 2)
Inequivalent atoms, fractional coordinates:
Li (0.0063, 0.0126, 0.3069) [2 per cell]  3 Rh 2.45-2.57, 1 Li 2.70
Os (0.3561, 0.7131, 0.9565) [2 per cell]  5 Os 2.53-2.76, 2 Rh 2.57, 3 Li 2.80-2.83
Rh (0.2812, 0.5627, 0.3528) [2 per cell]  3 Li 2.45-2.57, 2 Os 2.57, 2 Rh 2.65

Computed properties:
Calculated formation energy = 0.053 eV per atom
Offset from the most stable computed form = 18.3 kJ/mol of formula units
Final energy = -40.7 eV per cell

Record 3
First-principles (PBE) data for a relaxed RbGe3Pt6 crystal, as listed in Alexandria.

Lattice parameters (Å, degrees): 6.6903 7.1879 8.4368 90.00 115.60 90.00
Last column: nearest neighbours and their distance in Å.
Space group P2_1/c (No. 14)
Inequivalent atoms, fractional coordinates:
Rb (0.0000, 0.0000, 0.0000) [2 per cell]  10 Pt 3.08-3.33, 6 Ge 3.24-3.42
Ge (0.1646, 0.0762, 0.4158) [4 per cell]  6 Pt 2.58-2.70
Ge (0.5000, 0.0000, 0.0000) [2 per cell]  6 Pt 2.48-2.76
Pt (0.1860, 0.1412, 0.7297) [4 per cell]  4 Ge 2.55-2.64, 3 Pt 2.76-2.85
Pt (0.2488, 0.7488, 0.8226) [4 per cell]  2 Ge 2.48-2.60
Pt (0.4970, 0.5694, 0.1773) [4 per cell]  3 Ge 2.58-2.76, 4 Pt 2.76-2.85

Computed properties:
Calculated formation energy = -0.184 eV per atom
Final energy = -105.8 eV per cell

Record 4
First-principles (PBE) data for a relaxed TaMnVC2 crystal, as listed in Alexandria.

Lattice parameters (Å, degrees): 3.7182 3.7182 4.8253 90.00 90.00 90.00
Last column: nearest neighbours and their distance in Å.
Space group P4/mmm (No. 123)
Inequivalent atoms, fractional coordinates:
Ta (0.0000, 0.0000, 0.0000) [1 per cell]  2 Mn 2.41, 4 V 2.63
Mn (0.0000, 0.0000, 0.5000) [1 per cell]  4 C 1.86
V (0.5000, 0.5000, 0.0000) [1 per cell]  4 Ta 2.63
C (0.0000, 0.5000, 0.5000) [2 per cell]  2 Mn 1.86

Computed properties:
Calculated formation energy = 1.594 eV per atom
Final energy = -40.6 eV per cell

Record 5
First-principles (PBE) data for a relaxed Ba2UTe5Pt crystal, as listed in Alexandria.

Lattice parameters (Å, degrees): 4.4425 20.3252 14.0348 90.00 90.00 90.00
Last column: nearest neighbours and their distance in Å.
Space group Cmc2_1 (No. 36)
Inequivalent atoms, fractional coordinates:
Ba (0.0000, 0.1124, 0.0000) [4 per cell]  7 Te 3.43-3.68
Ba (0.0000, 0.1278, 0.3639) [4 per cell]  7 Te 3.44-3.72
U (0.0000, 0.1885, 0.6778) [4 per cell]  6 Te 3.00-3.07
Te (0.0000, 0.0408, 0.6714) [4 per cell]  2 Pt 2.67
Te (0.0000, 0.2923, 0.0300) [4 per cell]  1 Pt 2.68
Te (0.0000, 0.3094, 0.3283) [4 per cell]  2 U 3.07
Te (0.0000, 0.3380, 0.6793) [4 per cell]  1 U 3.04
Te (0.0000, 0.4946, 0.9247) [4 per cell]  1 Pt 2.71
Pt (0.0000, 0.4188, 0.0833) [4 per cell]  4 Te 2.67-2.71

Computed properties:
Energy relative to the elements, uncorrected = -1036 meV/atom
Final energy = -184.8 eV per cell

Record 6
First-principles (PBE) data for a relaxed Pm2Re3Ru crystal, as listed in Alexandria.

Lattice parameters (Å, degrees): 9.1641 5.3010 5.6650 90.00 122.71 90.00
Last column: nearest neighbours and their distance in Å.
Space group C2/m (No. 12)
Inequivalent atoms, fractional coordinates:
Pm (0.1264, 0.0000, 0.3791) [4 per cell]  3 Ru 3.11, 9 Re 3.20-3.33, 3 Pm 3.27
Re (0.0000, 0.5000, 0.0000) [2 per cell]  4 Re 2.65, 2 Ru 2.83
Re (0.2500, 0.2500, 0.0000) [4 per cell]  4 Re 2.65, 2 Ru 2.83
Ru (0.0000, 0.5000, 0.5000) [2 per cell]  6 Re 2.83, 6 Pm 3.11

Computed properties:
Calculated formation energy = -0.069 eV per atom
Final energy = -113.1 eV per cell

Record 7
First-principles (PBE) data for a relaxed PdRu3Br crystal, as listed in Alexandria.

Lattice parameters (Å, degrees): 4.5291 4.5291 4.5291 90.00 90.00 90.00
Last column: nearest neighbours and their distance in Å.
Space group Pm-3m (No. 221)
Inequivalent atoms, fractional coordinates:
Pd (0.0000, 0.0000, 0.0000) [1 per cell]  12 Ru 3.20
Ru (0.0000, 0.5000, 0.5000) [3 per cell]  2 Br 2.26
Br (0.5000, 0.5000, 0.5000) [1 per cell]  6 Ru 2.26

Computed properties:
Offset from the most stable computed form = 0.0 kJ/mol of formula units
Energy relative to the elements, uncorrected = 1570 meV/atom
Final energy = -26.8 eV per cell

Record 8
First-principles (PBE) data for a relaxed Dy7Sb2Ru2 crystal, as listed in Alexandria.

Lattice parameters (Å, degrees): 4.0594 15.7461 9.1898 90.00 90.00 90.00
Last column: nearest neighbours and their distance in Å.
Space group Imm2 (No. 44)
Inequivalent atoms, fractional coordinates:
Dy (0.0000, 0.0000, 0.0000) [2 per cell]  3 Sb 3.05-3.08
Dy (0.0000, 0.1291, 0.5911) [4 per cell]  2 Ru 2.89, 3 Sb 3.13-3.21
Dy (0.0000, 0.3151, 0.3824) [4 per cell]  3 Ru 2.80-3.11
Dy (0.0000, 0.3503, 0.7531) [4 per cell]  2 Ru 3.00, 2 Sb 3.19
Sb (0.0000, 0.0000, 0.3324) [2 per cell]  7 Dy 3.05-3.19
Sb (0.0000, 0.5000, 0.2477) [2 per cell]  8 Dy 3.08-3.21
Ru (0.0000, 0.2405, 0.0692) [4 per cell]  7 Dy 2.80-3.11

Computed properties:
Energy relative to the elements, uncorrected = -578 meV/atom
Final energy = -130.7 eV per cell